Entry 1:
# CuSb2F

A relaxed CuSb2F crystal (PBE, Alexandria).

- V (Å³/f.u.) = 84.4
- ΔE_f (raw) (meV per atom) = -312
- total moment (μB/f.u.) = 0.000
- calculated total energy (eV per atom) = -3.865
- E above lowest polymorph (meV/atom) = 173

```
8
Lattice="4.5441 0.0000 0.0000 0.0000 4.5441 0.0000 2.2721 2.2721 8.1699" Properties=species:S:1:pos:R:3 pbc="T T T"
Cu 0.0000 0.0000 0.0000
Cu 4.5441 2.2721 4.0850
Sb 1.2740 3.4081 2.0425
Sb 5.6802 5.5421 6.1275
Sb 3.2701 1.1360 2.0425
Sb 3.4081 3.5461 6.1275
F 2.2721 2.2721 0.0000
F 2.2721 4.5441 4.0850
```



Entry 2:
# Be17NbFe

A relaxed Be17NbFe crystal (PBE, Alexandria).

- V (Å³/f.u.) = 162.9
- total moment (μB/f.u.) = 1.666
- formation enthalpy at 0 K (eV/atom) = -0.13
- calculated total energy (eV per atom) = -4.440

```
19
Lattice="-0.4913 -5.3455 -1.2004 4.3841 -0.3594 -3.3027 3.5396 -1.8705 3.7722" Properties=species:S:1:pos:R:3 pbc="T T T"
Be 6.6595 -6.7877 -0.6548
Be 2.6540 -4.7676 1.1804
Be 0.7244 -0.7384 -0.0712
Be 4.5065 -5.7238 1.9017
Be 3.0779 -4.0091 -2.3707
Be 3.3317 -6.7367 0.4524
Be 5.1011 -2.2649 0.1252
Be 6.6948 -3.2971 -0.9978
Be 5.0891 -4.6815 -2.9787
Be -0.1777 -2.6644 -0.5903
Be 2.1953 -0.2376 -1.6135
Be 4.3173 -3.5609 1.5665
Be 4.7254 -2.8307 -1.8523
Be 3.6681 -6.1347 -2.3660
Be 2.3695 -5.2402 -0.8364
Be 6.4487 -3.7375 1.0642
Be 1.7843 -0.9731 1.8300
Nb 2.5236 -2.5722 -0.2481
Fe 4.9141 -5.0087 -0.4832
```



Entry 3:
# Dy4Al16Pt3

A relaxed Dy4Al16Pt3 crystal (PBE, Alexandria).

- V (Å³/f.u.) = 426.9
- total moment (μB/f.u.) = 0.000
- formation enthalpy at 0 K (eV/atom) = -0.66
- calculated total energy (eV per atom) = -4.852

```
23
Lattice="6.1792 0.0000 0.0000 0.0000 6.1792 0.0000 0.0000 0.0000 11.1817" Properties=species:S:1:pos:R:3 pbc="T T T"
Pt 0.0000 0.0000 0.0000
Pt 0.0000 3.0896 5.5909
Pt 3.0896 0.0000 5.5909
Al 1.7743 1.7743 0.0000
Al 0.0000 0.0000 2.5403
Al 3.0896 3.0896 8.9714
Al 4.4050 4.4050 0.0000
Al 1.5744 4.6048 6.9720
Al 1.5744 1.5744 4.2097
Al 1.5744 1.5744 6.9720
Al 3.0896 3.0896 2.2103
Al 0.0000 0.0000 8.6414
Al 4.6048 4.6048 6.9720
Al 4.4050 1.7743 0.0000
Al 1.5744 4.6048 4.2097
Al 1.7743 4.4050 0.0000
Al 4.6048 1.5744 4.2097
Al 4.6048 4.6048 4.2097
Al 4.6048 1.5744 6.9720
Dy 3.0896 0.0000 2.1222
Dy 3.0896 0.0000 9.0595
Dy 0.0000 3.0896 9.0595
Dy 0.0000 3.0896 2.1222
```



Entry 4:
# PrGe2Cl8

A relaxed PrGe2Cl8 crystal (PBE, Alexandria).

- V (Å³/f.u.) = 394.2
- ΔE_f (raw) (meV per atom) = -1202
- total moment (μB/f.u.) = 0.000
- calculated total energy (eV per atom) = -3.819

```
11
Lattice="7.6615 0.9848 0.7473 1.2193 7.4947 0.2199 1.2193 2.2299 7.1587" Properties=species:S:1:pos:R:3 pbc="T T T"
Cl 4.4156 8.2127 6.2315
Cl 2.9299 4.3764 6.5413
Cl 2.9299 7.4781 2.4534
Cl 7.6548 7.3697 5.5918
Cl 5.6844 2.4967 1.8944
Cl 7.1701 3.2313 5.6725
Cl 2.4452 3.3397 2.5341
Cl 7.1701 6.3330 1.5846
Ge 3.1775 1.6806 1.2751
Ge 6.9225 9.0289 6.8508
Pr 0.0000 0.0000 0.0000
```



Entry 5:
# LuPu2Fe

A relaxed LuPu2Fe crystal (PBE, Alexandria).

- V (Å³/f.u.) = 98.3
- total moment (μB/f.u.) = 10.354
- formation enthalpy at 0 K (eV/atom) = 0.22
- calculated total energy (eV per atom) = -10.193
- E above lowest polymorph (meV/atom) = 101

```
4
Lattice="3.5824 0.0000 0.0000 1.7912 3.1024 0.0000 1.7912 1.0341 8.8413" Properties=species:S:1:pos:R:3 pbc="T T T"
Lu 3.5824 2.0683 4.4207
Fe 0.0000 0.0000 0.0000
Pu 1.7912 1.0341 1.5994
Pu 5.3736 3.1024 7.2419
```



Question: Which of these has the lowest calculated total energy?
Answer: LuPu2Fe



Question: Which value of total moment does entry 5 give?
Answer: 10.354 μB/f.u.